Below is ZrBe2Tc at its PBEsol-relaxed geometry, with properties calculated at the meta-GGA SCAN level.

Properties
The value obtained for the energy relative to the elements is 0.1156 eV per atom. As for the energy above the most stable polymorph in this dataset: 1.626 eV/f.u. Its volume is 12.92 A^3/atom.

Unit cell a=2.7482 b=2.7482 c=6.8736 alpha=90.00 beta=90.00 gamma=95.48
Last column: nearest neighbours and their distance in Å.
Fractional coordinates of all 4 atoms:
1 Zr 0.0000 0.0000 0.0000  4 Be 2.72-2.85, 4 Zr 2.75, 2 Tc 2.96
2 Be 0.0000 0.0000 0.4445  4 Be 2.13-2.30, 2 Tc 2.39
3 Be 0.5000 0.5000 0.2896  4 Be 2.13-2.30
4 Tc 0.5000 0.5000 0.6645  5 Be 2.39-2.58